## Zn2Si2Sb (PBE-GGA)

Data for an optimized crystal structure of Zn2Si2Sb.

Excess energy over the best structure of this formula in the dataset, eV per atom: 0.0000
Magnetic moment, μB/f.u.: 0.000
Formation energy (no corrections), eV per atom: 0.293
Space group: I4/mmm (139)

Geometry as POSCAR:
```
Zn2Si2Sb
1.0
-1.754 1.754 7.646
1.754 -1.754 7.646
1.754 1.754 -7.646
Zn Si Sb
2 2 1
direct
0.111 0.111 0.000
0.889 0.889 0.000
0.250 0.750 0.500
0.750 0.250 0.500
0.500 0.500 0.000
```


## Zn2Si2Sb (PBE-GGA)

Data for an optimized crystal structure of Zn2Si2Sb.

Excess energy over the best structure of this formula in the dataset, eV per atom: 0.0182
Magnetic moment, μB/f.u.: 0.000
Formation energy (no corrections), eV per atom: 0.311
Space group: I4/mmm (139)

Geometry as POSCAR:
```
Zn2Si2Sb
1.0
-2.098 2.098 5.316
2.098 -2.098 5.316
2.098 2.098 -5.316
Zn Si Sb
2 2 1
direct
0.250 0.750 0.500
0.750 0.250 0.500
0.110 0.110 0.000
0.890 0.890 0.000
0.500 0.500 0.000
```


| no. | uncorrected energy (eV per atom) |
| --- | --- |
| 1 | -3.210 |
| 2 | -3.192 |